Material: NdFe4Cu3O12
Method: DFT, PBE+U
State: relaxed

CIF file:
```
data_NdFe4Cu3O12
_cell_length_a 6.4892
_cell_length_b 6.4892
_cell_length_c 6.4892
_cell_angle_alpha 109.47
_cell_angle_beta 109.47
_cell_angle_gamma 109.47
_symmetry_space_group_name_H-M 'P 1'
_symmetry_Int_Tables_number 1
_symmetry_space_group_name_Hall 'P 1'
loop_
_atom_site_label
_atom_site_type_symbol
_atom_site_fract_x
_atom_site_fract_y
_atom_site_fract_z
Nd1 Nd 0.0000 0.0000 0.0000
Fe1 Fe 0.0000 0.5000 0.0000
Fe2 Fe 0.0000 0.0000 0.5000
Fe3 Fe 0.5000 0.0000 0.0000
Fe4 Fe 0.5000 0.5000 0.5000
Cu1 Cu 0.0000 0.5000 0.5000
Cu2 Cu 0.5000 0.5000 0.0000
Cu3 Cu 0.5000 0.0000 0.5000
O1 O 0.8555 0.6897 0.1658
O2 O 0.1445 0.3103 0.8342
O3 O 0.5239 0.6897 0.8342
O4 O 0.4761 0.3103 0.1658
O5 O 0.6897 0.1658 0.8555
O6 O 0.3103 0.8342 0.1445
O7 O 0.6897 0.8342 0.5239
O8 O 0.3103 0.1658 0.4761
O9 O 0.1658 0.8555 0.6897
O10 O 0.8342 0.1445 0.3103
O11 O 0.8342 0.5239 0.6897
O12 O 0.1658 0.4761 0.3103
```

Properties
**Energy**: -6.294 eV per atom
**SG**: Im-3